Entry 1:
Material: SrSnRu3
Method: DFT, PBE
State: relaxed

abc: 4.9560 4.9560 4.9560
angles: 90.00 90.00 90.00
Fractional positions:
Ru 0.0000 0.5000 0.0000
Ru 0.0000 0.0000 0.5000
Ru 0.5000 0.0000 0.0000
Sn 0.0000 0.0000 0.0000
Sr 0.5000 0.5000 0.5000

Properties
**Distance to the lowest polymorph of the same formula**: 0 meV per atom
**VASP energy**: -5.594 eV per atom
**ΔH_f (0 K)**: 25.56 kcal/mol of atoms
**Space-group type**: Pm-3m



Entry 2:
Material: Sr2SnRu
Method: DFT, PBE
State: relaxed

abc: 10.9763 10.9763 8.1772
angles: 47.84 47.84 90.00
Fractional positions:
Ru 0.5000 0.5000 0.0000
Ru 0.2500 0.7500 0.5000
Sn 0.0000 0.0000 0.0000
Sn 0.7500 0.2500 0.5000
Sr 0.4577 0.1250 0.2500
Sr 0.2923 0.6250 0.2500
Sr 0.3750 0.5423 0.7500
Sr 0.8750 0.7077 0.7500

Properties
**VASP energy**: -4.138 eV per atom
**ΔH_f (0 K)**: 0.52 kcal/mol of atoms
**Space-group type**: I-42d



Entry 3:
Material: SrSnRu2W
Method: DFT, PBE
State: relaxed

abc: 4.9584 5.0568 4.9584
angles: 90.00 90.00 90.00
Fractional positions:
Ru 0.0000 0.0000 0.5000
Ru 0.5000 0.0000 0.0000
Sn 0.0000 0.0000 0.0000
W 0.0000 0.5000 0.0000
Sr 0.5000 0.5000 0.5000

Properties
**VASP energy**: -5.888 eV per atom
**ΔH_f (0 K)**: 35.73 kcal/mol of atoms
**Space-group type**: P4/mmm



Entry 4:
Material: TaSnRu3
Method: DFT, PBE
State: relaxed

abc: 4.7243 4.7243 4.7243
angles: 90.00 90.00 90.00
Fractional positions:
Ru 0.0000 0.5000 0.0000
Ru 0.0000 0.0000 0.5000
Ru 0.5000 0.0000 0.0000
Sn 0.5000 0.5000 0.5000
Ta 0.0000 0.0000 0.0000

Properties
**Distance to the lowest polymorph of the same formula**: 0 meV per atom
**VASP energy**: -7.477 eV per atom
**ΔH_f (0 K)**: 29.05 kcal/mol of atoms
**Space-group type**: Pm-3m



Entry 5:
Material: Ta5SnRu6
Method: DFT, PBE
State: relaxed

abc: 4.5584 6.1329 7.1130
angles: 90.00 103.68 90.00
Fractional positions:
Ru 0.8672 0.7477 0.6776
Ru 0.8672 0.2523 0.6776
Ru 0.5000 0.2546 0.0000
Ru 0.5000 0.7454 0.0000
Ru 0.1328 0.7477 0.3224
Ru 0.1328 0.2523 0.3224
Sn 0.0000 0.0000 0.0000
Ta 0.6457 0.5000 0.3416
Ta 0.3511 0.0000 0.6577
Ta 0.0000 0.5000 0.0000
Ta 0.6489 0.0000 0.3423
Ta 0.3543 0.5000 0.6584

Properties
**VASP energy**: -10.243 eV per atom
**ΔH_f (0 K)**: -7.68 kcal/mol of atoms
**Space-group type**: P2/m



Entry 6:
Material: TaSn3Ru
Method: DFT, PBE
State: relaxed

abc: 5.2270 5.2270 5.2270
angles: 90.00 90.00 90.00
Fractional positions:
Ru 0.0000 0.0000 0.0000
Sn 0.0000 0.5000 0.0000
Sn 0.0000 0.0000 0.5000
Sn 0.5000 0.0000 0.0000
Ta 0.5000 0.5000 0.5000

Properties
**Distance to the lowest polymorph of the same formula**: 0 meV per atom
**VASP energy**: -5.608 eV per atom
**ΔH_f (0 K)**: 23.51 kcal/mol of atoms
**Space-group type**: Pm-3m



Entry 7:
Material: TaSnRu3
Method: DFT, PBE
State: relaxed

abc: 4.6602 4.6602 4.6602
angles: 90.00 90.00 90.00
Fractional positions:
Ru 0.0000 0.5000 0.0000
Ru 0.0000 0.0000 0.5000
Ru 0.5000 0.0000 0.0000
Sn 0.0000 0.0000 0.0000
Ta 0.5000 0.5000 0.5000

Properties
**Distance to the lowest polymorph of the same formula**: 493 meV per atom
**VASP energy**: -6.983 eV per atom
**ΔH_f (0 K)**: 40.43 kcal/mol of atoms
**Space-group type**: Pm-3m



Entry 8:
Material: TaSn2Ru2
Method: DFT, PBE
State: relaxed

abc: 7.5054 7.5054 3.1593
angles: 90.00 90.00 90.00
Fractional positions:
Ru 0.3629 0.8629 0.0000
Ru 0.8629 0.6371 0.0000
Ru 0.6371 0.1371 0.0000
Ru 0.1371 0.3629 0.0000
Sn 0.1614 0.6614 0.5000
Sn 0.6614 0.8386 0.5000
Sn 0.8386 0.3386 0.5000
Sn 0.3386 0.1614 0.5000
Ta 0.0000 0.0000 0.0000
Ta 0.5000 0.5000 0.0000

Properties
**VASP energy**: -7.564 eV per atom
**ΔH_f (0 K)**: 2.73 kcal/mol of atoms
**Space-group type**: P4/mbm



Entry 9:
Material: Ta3SnRu4
Method: DFT, PBE
State: relaxed

abc: 3.4138 4.3536 8.7183
angles: 90.00 90.00 90.00
Fractional positions:
Ru 0.0000 0.0000 0.5000
Ru 0.0000 0.5000 0.7458
Ru 0.0000 0.0000 0.0000
Ru 0.0000 0.5000 0.2542
Sn 0.5000 0.5000 0.0000
Ta 0.5000 0.0000 0.2555
Ta 0.5000 0.5000 0.5000
Ta 0.5000 0.0000 0.7445

Properties
**VASP energy**: -9.875 eV per atom
**ΔH_f (0 K)**: -6.74 kcal/mol of atoms
**Space-group type**: Pmmm



Entry 10:
Material: Tb3Sn3Ru2
Method: DFT, PBE
State: relaxed

abc: 5.8756 8.3571 15.3283
angles: 90.00 90.00 90.00
Fractional positions:
Tb 0.1011 0.4655 0.3881
Tb 0.6011 0.0345 0.6119
Tb 0.8989 0.5345 0.8881
Tb 0.3989 0.9655 0.1119
Tb 0.8989 0.5345 0.6119
Tb 0.3989 0.9655 0.3881
Tb 0.1011 0.4655 0.1119
Tb 0.6011 0.0345 0.8881
Tb 0.6321 0.3250 0.2500
Tb 0.1321 0.1750 0.7500
Tb 0.3679 0.6750 0.7500
Tb 0.8679 0.8250 0.2500
Sn 0.1287 0.1724 0.2500
Sn 0.6287 0.3276 0.7500
Sn 0.8713 0.8276 0.7500
Sn 0.3713 0.6724 0.2500
Sn 0.6002 0.3194 0.4655
Sn 0.1002 0.1806 0.5345
Sn 0.3998 0.6806 0.9655
Sn 0.8998 0.8194 0.0345
Sn 0.3998 0.6806 0.5345
Sn 0.8998 0.8194 0.4655
Sn 0.6002 0.3194 0.0345
Sn 0.1002 0.1806 0.9655
Ru 0.8569 0.1003 0.3886
Ru 0.3569 0.3997 0.6115
Ru 0.1431 0.8997 0.8886
Ru 0.6431 0.6003 0.1114
Ru 0.1431 0.8997 0.6115
Ru 0.6431 0.6003 0.3886
Ru 0.8569 0.1003 0.1114
Ru 0.3569 0.3997 0.8886

Properties
**VASP energy**: -6.108 eV per atom
**ΔH_f (0 K)**: -12.71 kcal/mol of atoms
**Space-group type**: Pnma



Entry 11:
Material: Tb4Sn8Ru
Method: DFT, PBE
State: relaxed

abc: 4.4378 4.4952 16.7414
angles: 90.00 90.00 90.00
Fractional positions:
Tb 0.0000 0.0000 0.0921
Tb 0.0000 0.5000 0.6075
Tb 0.5000 0.5000 0.3926
Tb 0.5000 0.0000 0.9004
Sn 0.0000 0.0000 0.4627
Sn 0.0000 0.5000 0.9321
Sn 0.5000 0.5000 0.0580
Sn 0.5000 0.0000 0.5807
Sn 0.0000 0.5000 0.2295
Sn 0.0000 0.0000 0.7531
Sn 0.5000 0.0000 0.2285
Sn 0.5000 0.5000 0.7559
Ru 0.0000 0.0000 0.3097

Properties
**VASP energy**: -5.134 eV per atom
**ΔH_f (0 K)**: -12.27 kcal/mol of atoms
**Space-group type**: Pmm2



Entry 12:
Material: TbSn2Ru
Method: DFT, PBE
State: relaxed

abc: 5.8254 7.4078 16.3965
angles: 90.00 90.00 90.00
Fractional positions:
Tb 0.4702 0.2500 0.1441
Tb 0.9702 0.7500 0.3559
Tb 0.5298 0.7500 0.8559
Tb 0.0298 0.2500 0.6441
Tb 0.7436 0.2500 0.3943
Tb 0.2436 0.7500 0.1057
Tb 0.2564 0.7500 0.6057
Tb 0.7564 0.2500 0.8943
Sn 0.9829 0.0468 0.2129
Sn 0.4829 0.9532 0.2871
Sn 0.0171 0.5468 0.7871
Sn 0.5171 0.4532 0.7129
Sn 0.0171 0.9532 0.7871
Sn 0.5171 0.0468 0.7129
Sn 0.9829 0.4532 0.2129
Sn 0.4829 0.5468 0.2871
Sn 0.7420 0.5450 0.0351
Sn 0.2420 0.4550 0.4649
Sn 0.2580 0.0449 0.9649
Sn 0.7580 0.9550 0.5351
Sn 0.2580 0.4550 0.9649
Sn 0.7580 0.5450 0.5351
Sn 0.7420 0.9550 0.0351
Sn 0.2420 0.0449 0.4649
Ru 0.2258 0.2500 0.3249
Ru 0.7258 0.7500 0.1751
Ru 0.7742 0.7500 0.6751
Ru 0.2742 0.2500 0.8249
Ru 0.0022 0.2500 0.0725
Ru 0.5022 0.7500 0.4275
Ru 0.9978 0.7500 0.9275
Ru 0.4978 0.2500 0.5725

Properties
**VASP energy**: -5.971 eV per atom
**ΔH_f (0 K)**: -11.37 kcal/mol of atoms
**Space-group type**: Pnma



Entry 13:
Material: Tb2SnRu
Method: DFT, PBE
State: relaxed

abc: 3.5723 3.5723 9.2744
angles: 78.90 78.90 60.00
Fractional positions:
Ru 0.0000 0.0000 0.0000
Tb 0.2629 0.2629 0.2113
Tb 0.7371 0.7371 0.7887
Sn 0.5000 0.5000 0.5000

Properties
**Distance to the lowest polymorph of the same formula**: 240 meV per atom
**VASP energy**: -5.938 eV per atom
**ΔH_f (0 K)**: -6.98 kcal/mol of atoms
**Space-group type**: R-3m



Entry 14:
Material: Tb7SnRu4
Method: DFT, PBE
State: relaxed

abc: 5.5584 8.3745 7.3039
angles: 75.92 67.63 70.62
Fractional positions:
Tb 0.7894 0.8794 0.5418
Tb 0.2106 0.1206 0.4582
Tb 0.0764 0.6249 0.2223
Tb 0.9236 0.3751 0.7777
Tb 0.3188 0.6339 0.7284
Tb 0.5000 0.0000 0.0000
Tb 0.6812 0.3661 0.2716
Sn 0.0000 0.0000 0.0000
Ru 0.5657 0.2233 0.6452
Ru 0.4343 0.7767 0.3548
Ru 0.6980 0.6495 0.9544
Ru 0.3020 0.3505 0.0456

Properties
**VASP energy**: -6.229 eV per atom
**ΔH_f (0 K)**: -2.36 kcal/mol of atoms
**Space-group type**: C2/m



Entry 15:
Material: TbSn3Ru
Method: DFT, PBE
State: relaxed

abc: 6.3224 8.8810 8.8810
angles: 86.79 81.89 81.89
Fractional positions:
Tb 0.9092 0.2773 0.0588
Tb 0.4092 0.0588 0.2773
Tb 0.5908 0.9412 0.7227
Tb 0.0908 0.7227 0.9412
Sn 0.4233 0.2510 0.9546
Sn 0.9233 0.9546 0.2510
Sn 0.0767 0.0454 0.7490
Sn 0.5767 0.7490 0.0454
Sn 0.9268 0.2496 0.4374
Sn 0.4268 0.4374 0.2496
Sn 0.5732 0.5626 0.7504
Sn 0.0732 0.7504 0.5626
Sn 0.9280 0.5589 0.2607
Sn 0.4280 0.2607 0.5589
Sn 0.5720 0.7393 0.4411
Sn 0.0720 0.4411 0.7393
Ru 0.2500 0.7315 0.2685
Ru 0.2500 0.9877 0.0123
Ru 0.7500 0.2685 0.7315
Ru 0.7500 0.0123 0.9877

Properties
**VASP energy**: -5.533 eV per atom
**ΔH_f (0 K)**: -8.07 kcal/mol of atoms
**Space-group type**: C2/c



Entry 16:
Material: Tb4Sn2Ru
Method: DFT, PBE
State: relaxed

abc: 4.7099 8.7534 7.5361
angles: 136.95 108.21 90.00
Fractional positions:
Tb 0.9321 0.2227 0.8643
Tb 0.0679 0.7773 0.1357
Tb 0.6673 0.2830 0.3347
Tb 0.3327 0.7170 0.6653
Sn 0.6652 0.6535 0.3303
Sn 0.3348 0.3465 0.6697
Ru 0.0000 0.0000 0.0000

Properties
**VASP energy**: -5.695 eV per atom
**ΔH_f (0 K)**: -13.39 kcal/mol of atoms
**Space-group type**: C2/m



Entry 17:
Material: TbSn2Ru
Method: DFT, PBE
State: relaxed

abc: 4.4995 4.4995 5.7419
angles: 66.93 66.93 60.00
Fractional positions:
Ru 0.5000 0.5000 0.5000
Tb 0.0000 0.0000 0.0000
Sn 0.7748 0.7748 0.6757
Sn 0.2252 0.2252 0.3243

Properties
**VASP energy**: -5.873 eV per atom
**ΔH_f (0 K)**: -9.10 kcal/mol of atoms
**Space-group type**: R-3m



Entry 18:
Material: Tb3Sn4Ru2
Method: DFT, PBE
State: relaxed

abc: 4.7339 6.0303 8.8773
angles: 67.87 74.54 66.89
Fractional positions:
Tb 0.3687 0.5783 0.6843
Tb 0.0000 0.0000 0.0000
Tb 0.6313 0.4217 0.3157
Sn 0.2910 0.3384 0.0796
Sn 0.7090 0.6616 0.9204
Sn 0.0869 0.2208 0.6054
Sn 0.9131 0.7792 0.3946
Ru 0.3209 0.9898 0.3684
Ru 0.6791 0.0102 0.6316

Properties
**Distance to the lowest polymorph of the same formula**: 0 meV per atom
**VASP energy**: -5.939 eV per atom
**ΔH_f (0 K)**: -12.80 kcal/mol of atoms
**Space-group type**: C2/m



Entry 19:
Material: Tb8SnRu2
Method: DFT, PBE
State: relaxed

abc: 5.4754 7.9106 7.9106
angles: 112.73 97.60 97.60
Fractional positions:
Tb 0.9234 0.9330 0.6716
Tb 0.9234 0.6716 0.9330
Tb 0.2993 0.6131 0.6131
Tb 0.5000 0.7529 0.2471
Tb 0.5000 0.2471 0.7529
Tb 0.7007 0.3869 0.3869
Tb 0.0766 0.3284 0.0670
Tb 0.0766 0.0670 0.3284
Sn 0.5000 0.0000 0.0000
Ru 0.0000 0.3108 0.6892
Ru 0.0000 0.6892 0.3108

Properties
**VASP energy**: -5.706 eV per atom
**ΔH_f (0 K)**: -6.65 kcal/mol of atoms
**Space-group type**: C2/m



Entry 20:
Material: Tb12SnRu6
Method: DFT, PBE
State: relaxed

abc: 8.5526 8.5526 8.5526
angles: 109.47 109.47 109.47
Fractional positions:
Tb 0.2961 0.1013 0.8053
Tb 0.2961 0.4908 0.1947
Tb 0.7039 0.5092 0.8053
Tb 0.7039 0.8987 0.1947
Tb 0.1013 0.8053 0.2961
Tb 0.4908 0.1947 0.2961
Tb 0.5092 0.8053 0.7039
Tb 0.8987 0.1947 0.7039
Tb 0.8053 0.2961 0.1013
Tb 0.1947 0.2961 0.4908
Tb 0.8053 0.7039 0.5092
Tb 0.1947 0.7039 0.8987
Sn 0.0000 0.0000 0.0000
Ru 0.3763 0.5000 0.8763
Ru 0.6237 0.5000 0.1237
Ru 0.5000 0.8763 0.3763
Ru 0.5000 0.1237 0.6237
Ru 0.8763 0.3763 0.5000
Ru 0.1237 0.6237 0.5000

Properties
**VASP energy**: -6.383 eV per atom
**ΔH_f (0 K)**: -7.36 kcal/mol of atoms
**Space-group type**: Im-3